Run P
VASP calculation (PBE-GGA) on HfRu2I after structural relaxation.

```
data_HfRu2I
_chemical_formula_sum 'Hf4 Ru8 I4'
_symmetry_space_group_name_H-M 'I -4 2 d'
_symmetry_Int_Tables_number 122
_symmetry_space_group_name_Hall 'I -4 2bw'
_cell_length_a 5.645
_cell_length_b 5.645
_cell_length_c 12.642
_cell_angle_alpha 90.00
_cell_angle_beta 90.00
_cell_angle_gamma 90.00
loop_
_atom_site_label
_atom_site_type_symbol
_atom_site_fract_x
_atom_site_fract_y
_atom_site_fract_z
Hf1 Hf 0.000 0.000 0.000
Ru1 Ru 0.246 0.250 0.125
I1 I 0.000 0.000 0.500
```

Calculated values
Mass density: 8.37 g cm⁻³



Run Q
VASP calculation (PBE-GGA) on HfRu2I after structural relaxation.

```
data_HfRu2I
_chemical_formula_sum 'Hf4 Ru8 I4'
_symmetry_space_group_name_H-M 'F m -3 m'
_symmetry_Int_Tables_number 225
_symmetry_space_group_name_Hall '-F 4 2 3'
_cell_length_a 6.611
_cell_length_b 6.611
_cell_length_c 6.611
_cell_angle_alpha 90.00
_cell_angle_beta 90.00
_cell_angle_gamma 90.00
loop_
_atom_site_label
_atom_site_type_symbol
_atom_site_fract_x
_atom_site_fract_y
_atom_site_fract_z
Hf1 Hf 0.000 0.000 0.000
Ru1 Ru 0.250 0.250 0.250
I1 I 0.000 0.000 0.500
```

Calculated values
Mass density: 11.67 g cm⁻³



Which structure is the least stable? The one labeled run P.



Run P
VASP calculation (PBE-GGA) on HfSiRu2I after structural relaxation.

```
data_HfSiRu2I
_chemical_formula_sum 'Hf1 Si1 Ru2 I1'
_symmetry_space_group_name_H-M 'P 4/m m m'
_symmetry_Int_Tables_number 123
_symmetry_space_group_name_Hall '-P 4 2'
_cell_length_a 4.749
_cell_length_b 4.749
_cell_length_c 5.234
_cell_angle_alpha 90.00
_cell_angle_beta 90.00
_cell_angle_gamma 90.00
loop_
_atom_site_label
_atom_site_type_symbol
_atom_site_fract_x
_atom_site_fract_y
_atom_site_fract_z
Hf1 Hf 0.000 0.000 0.000
Si1 Si 0.500 0.500 0.000
Ru1 Ru 0.000 0.500 0.500
I1 I 0.000 0.000 0.500
```

Calculated values
Mass density: 7.53 g cm⁻³



Run Q
VASP calculation (PBE-GGA) on HfSiRu2I after structural relaxation.

```
data_HfSiRu2I
_chemical_formula_sum 'Hf1 Si1 Ru2 I1'
_symmetry_space_group_name_H-M 'P 4/m m m'
_symmetry_Int_Tables_number 123
_symmetry_space_group_name_Hall '-P 4 2'
_cell_length_a 4.483
_cell_length_b 4.483
_cell_length_c 4.976
_cell_angle_alpha 90.00
_cell_angle_beta 90.00
_cell_angle_gamma 90.00
loop_
_atom_site_label
_atom_site_type_symbol
_atom_site_fract_x
_atom_site_fract_y
_atom_site_fract_z
Hf1 Hf 0.000 0.000 0.000
Si1 Si 0.000 0.000 0.500
Ru1 Ru 0.000 0.500 0.500
I1 I 0.500 0.500 0.000
```

Calculated values
Mass density: 8.90 g cm⁻³



Which structure is the least stable? The one labeled run P.



Run P
VASP calculation (PBE-GGA) on HfSI2 after structural relaxation.

```
data_HfSI2
_chemical_formula_sum 'Hf4 S4 I8'
_symmetry_space_group_name_H-M 'F m -3 m'
_symmetry_Int_Tables_number 225
_symmetry_space_group_name_Hall '-F 4 2 3'
_cell_length_a 7.239
_cell_length_b 7.239
_cell_length_c 7.239
_cell_angle_alpha 90.00
_cell_angle_beta 90.00
_cell_angle_gamma 90.00
loop_
_atom_site_label
_atom_site_type_symbol
_atom_site_fract_x
_atom_site_fract_y
_atom_site_fract_z
Hf1 Hf 0.000 0.000 0.000
S1 S 0.000 0.000 0.500
I1 I 0.250 0.250 0.250
```

Calculated values
Mass density: 8.13 g cm⁻³



Run Q
VASP calculation (PBE-GGA) on HfSI2 after structural relaxation.

```
data_HfSI2
_chemical_formula_sum 'Hf2 S2 I4'
_symmetry_space_group_name_H-M 'C 1 m 1'
_symmetry_Int_Tables_number 8
_symmetry_space_group_name_Hall 'C -2y'
_cell_length_a 8.854
_cell_length_b 3.693
_cell_length_c 8.642
_cell_angle_alpha 90.00
_cell_angle_beta 106.95
_cell_angle_gamma 90.00
loop_
_atom_site_label
_atom_site_type_symbol
_atom_site_fract_x
_atom_site_fract_y
_atom_site_fract_z
Hf1 Hf 0.000 0.000 0.000
S1 S 0.199 0.500 0.000
I1 I 0.003 0.500 0.271
I2 I 0.349 0.000 0.729
```

Calculated values
Mass density: 5.71 g cm⁻³



Run R
VASP calculation (PBE-GGA) on HfSI2 after structural relaxation.

```
data_HfSI2
_chemical_formula_sum 'Hf4 S4 I8'
_symmetry_space_group_name_H-M 'I -4 2 d'
_symmetry_Int_Tables_number 122
_symmetry_space_group_name_Hall 'I -4 2bw'
_cell_length_a 10.839
_cell_length_b 10.839
_cell_length_c 4.821
_cell_angle_alpha 90.00
_cell_angle_beta 90.00
_cell_angle_gamma 90.00
loop_
_atom_site_label
_atom_site_type_symbol
_atom_site_fract_x
_atom_site_fract_y
_atom_site_fract_z
Hf1 Hf 0.000 0.000 0.000
S1 S 0.000 0.000 0.500
I1 I 0.097 0.250 0.125
```

Calculated values
Mass density: 5.45 g cm⁻³



Which structure is the least stable? The one labeled run P.